Density functional theory data (PBE) for an optimized crystal structure of CdTe2MoN.

Cell: 5.512 5.512 3.825 Å, 90.00 90.00 90.00°
Fractional coordinates of all 5 atoms:
Cd 0.000 0.000 0.000
Te 0.000 0.500 0.500
Te 0.500 0.000 0.500
Mo 0.500 0.500 0.500
N 0.500 0.500 0.000

Computed properties:
ρ: 6.82 g cm⁻³
Energy: -25.41 eV/cell
Energy above the most stable polymorph in this dataset: 0 meV/atom
Formation energy without anion corrections: 0.190 eV per atom